Zn2As (PBE, optimized geometry); energy of formation from the pure elements = 0.204 eV/atom; magnetic moment = 0.00 μB/f.u.; polymorph energy (0 for the lowest one) = 185 meV/atom; raw total energy = -6.6 eV/f.u.
1.0
-1.758 1.758 8.824
1.758 -1.758 8.824
1.758 1.758 -8.824
Zn As
4 2
direct
0.302 0.552 0.750 Zn
0.448 0.698 0.750 Zn
0.552 0.302 0.250 Zn
0.698 0.448 0.250 Zn
0.125 0.875 0.250 As
0.875 0.125 0.750 As